No. 1
# IrOsS2Cl

IrOsS2Cl after structural relaxation (PBE-GGA, the Alexandria database).

VASP energy in eV/cell: -23.8
Polymorph energy (0 for the lowest one) in eV per atom: 0.000

Lattice parameters (Å, degrees): 4.5333 4.5333 4.8118 90.00 90.00 90.00
Atoms (fractional coordinates):
Ir (0.0000, 0.0000, 0.0000)
Os (0.5000, 0.5000, 0.5000)
S (0.0000, 0.5000, 0.5000)
S (0.5000, 0.0000, 0.5000)
Cl (0.5000, 0.5000, 0.0000)


No. 2
# ScIrOs2Cl

ScIrOs2Cl after structural relaxation (PBE-GGA, the Alexandria database).

VASP energy in eV/cell: -33.3

Lattice parameters (Å, degrees): 4.7261 4.7261 5.2413 90.00 90.00 90.00
Atoms (fractional coordinates):
Sc (0.0000, 0.0000, 0.0000)
Ir (0.0000, 0.0000, 0.5000)
Os (0.0000, 0.5000, 0.5000)
Os (0.5000, 0.0000, 0.5000)
Cl (0.5000, 0.5000, 0.0000)


No. 3
# Sm6IrOs2Cl3

Sm6IrOs2Cl3 after structural relaxation (PBE-GGA, the Alexandria database).

VASP energy in eV/cell: -75.9

Lattice parameters (Å, degrees): 7.0251 7.0251 7.8632 98.56 98.56 120.05
Atoms (fractional coordinates):
Sm (0.0941, 0.4315, 0.7948)
Sm (0.2301, 0.2301, 0.2042)
Sm (0.4315, 0.0941, 0.7948)
Sm (0.5685, 0.9059, 0.2052)
Sm (0.7699, 0.7699, 0.7958)
Sm (0.9059, 0.5685, 0.2052)
Ir (0.5000, 0.5000, 0.0000)
Os (0.1668, 0.8332, 0.0000)
Os (0.8332, 0.1668, 0.0000)
Cl (0.0000, 0.0000, 0.5000)
Cl (0.3299, 0.6701, 0.5000)
Cl (0.6701, 0.3299, 0.5000)


No. 4
# Ta2IrOsCl

Ta2IrOsCl after structural relaxation (PBE-GGA, the Alexandria database).

VASP energy in eV/cell: -40.6

Lattice parameters (Å, degrees): 4.4421 4.4421 4.3102 90.00 90.00 90.00
Atoms (fractional coordinates):
Ta (0.0000, 0.5000, 0.0000)
Ta (0.5000, 0.0000, 0.0000)
Ir (0.0000, 0.0000, 0.5000)
Os (0.5000, 0.5000, 0.5000)
Cl (0.5000, 0.5000, 0.0000)


> What is the VASP energy in the fourth record?

-40.6 eV/cell